VASP calculation (meta-GGA SCAN) on a PBEsol-optimized structure of NbSbRuPb2.

Unit cell a=5.3724 b=5.3724 c=5.2076 alpha=90.00 beta=90.00 gamma=90.00
Closest atoms and distances in Å follow each position.
Fractional positions:
Nb1 0.0000 0.0000 0.0000  2 Sb 2.60, 4 Pb 2.69
Sb1 0.0000 0.0000 0.5000  2 Nb 2.60
Ru1 0.5000 0.5000 0.5000  8 Pb 3.74, 4 Sb 3.80
Pb1 0.0000 0.5000 0.0000  2 Nb 2.69
Pb2 0.5000 0.0000 0.0000  2 Nb 2.69

Properties
total moment = 0.78 μB/atom
formation energy without anion corrections = 1.135 eV/atom
raw total energy = -251.10 eV/cell

***

VASP calculation (meta-GGA SCAN) on a PBEsol-optimized structure of Y2ScW.

Unit cell a=5.4940 b=5.4940 c=5.6368 alpha=100.08 beta=100.08 gamma=33.11
Closest atoms and distances in Å follow each position.
Fractional positions:
Y1 0.2349 0.2349 0.2371  3 W 3.02-3.31, 3 Sc 3.11-3.31, 6 Y 3.13-3.32
Y2 0.7651 0.7651 0.7629  3 W 3.02-3.31, 3 Sc 3.11-3.31, 6 Y 3.13-3.32
Sc1 0.0000 0.0000 0.5000  6 Y 3.11-3.31, 2 Sc 3.13, 4 W 3.22
W1 0.5000 0.5000 0.0000  6 Y 3.02-3.31, 2 W 3.13, 4 Sc 3.22

Properties
energy relative to the elements = 0.562 eV/atom
total moment = 0.00 μB/atom
raw total energy = -137.36 eV/cell

***

VASP calculation (meta-GGA SCAN) on a PBEsol-optimized structure of LiCd2Ag.

Unit cell a=2.8764 b=4.4720 c=5.6758 alpha=90.00 beta=103.43 gamma=90.00
Closest atoms and distances in Å follow each position.
Fractional positions:
Li1 0.0000 0.0000 0.0000  2 Ag 2.64, 4 Cd 2.87-2.88, 2 Li 2.88
Cd1 0.4511 0.5000 0.7729  4 Li 2.87-3.02, 3 Ag 2.87-3.08, 6 Cd 2.88-3.13
Cd2 0.8282 0.0000 0.4792  3 Li 2.88-3.17, 6 Cd 2.88-3.13, 4 Ag 2.93-2.99
Ag1 0.2415 0.5000 0.2441  2 Li 2.64, 4 Cd 2.87-2.93, 2 Ag 2.88

Properties
energy relative to the elements = -0.176 eV/atom
total moment = 0.00 μB/atom
raw total energy = -95.29 eV/cell

***

VASP calculation (meta-GGA SCAN) on a PBEsol-optimized structure of CaZrW2.

Unit cell a=2.7558 b=4.5903 c=6.1676 alpha=90.00 beta=90.00 gamma=90.00
Closest atoms and distances in Å follow each position.
Fractional positions:
Ca1 0.0000 0.0000 0.0000  2 Ca 2.76, 1 W 2.92
Zr1 0.5000 0.5000 0.7176  1 W 2.68, 2 Zr 2.76
W1 0.0000 0.0000 0.4741  6 W 2.76-2.92, 1 Ca 2.92, 4 Zr 3.07
W2 0.5000 0.5000 0.2833  1 Zr 2.68, 6 W 2.76-2.92

Properties
energy relative to the elements = 0.821 eV/atom
total moment = 0.00 μB/atom
raw total energy = -176.45 eV/cell